1.
VASP calculation (GGA-PBE) on a relaxed Pr6Dy16Th7 crystal.

Values from the calculation:
- formation energy (eV/atom) = 0.2475

Unit cell a=11.3133 b=11.3133 c=11.3133 alpha=60.00 beta=60.00 gamma=60.00
Fractional coordinates of all 29 atoms:
Pr 0.7386 0.7386 0.2614
Dy 0.1288 0.1288 0.1288
Pr 0.7386 0.2614 0.2614
Dy 0.1288 0.1288 0.6136
Pr 0.2614 0.7386 0.7386
Th 0.0000 0.0000 0.0000
Dy 0.8712 0.8712 0.3864
Dy 0.8712 0.8712 0.8712
Dy 0.9663 0.3446 0.3446
Dy 0.0337 0.6554 0.6554
Dy 0.3446 0.9663 0.3446
Dy 0.6554 0.0337 0.6554
Dy 0.8712 0.3864 0.8712
Th 0.5000 0.0000 0.5000
Dy 0.3446 0.3446 0.9663
Dy 0.6554 0.6554 0.6554
Th 0.5000 0.5000 0.0000
Dy 0.3864 0.8712 0.8712
Th 0.5000 0.0000 0.0000
Dy 0.1288 0.6136 0.1288
Dy 0.6136 0.1288 0.1288
Pr 0.2614 0.2614 0.7386
Pr 0.7386 0.2614 0.7386
Th 0.0000 0.0000 0.5000
Th 0.0000 0.5000 0.0000
Dy 0.6554 0.6554 0.0337
Th 0.0000 0.5000 0.5000
Pr 0.2614 0.7386 0.2614
Dy 0.3446 0.3446 0.3446



2.
VASP calculation (GGA-PBE) on a relaxed PrDy5Th crystal.

Values from the calculation:
- formation energy (eV/atom) = 0.2202

Unit cell a=8.6654 b=8.6654 c=8.6671 alpha=106.61 beta=101.52 gamma=120.95
Fractional coordinates of all 14 atoms:
Dy 0.4999 0.2399 0.2408
Th 0.0000 0.0000 0.0000
Pr 0.6928 0.4428 0.7500
Pr 0.3072 0.5572 0.2500
Dy 0.0009 0.2409 0.7408
Dy 0.7174 0.9674 0.2500
Dy 0.8033 0.2592 0.0441
Dy 0.2151 0.2592 0.4559
Th 0.0000 0.5000 0.5000
Dy 0.5001 0.7601 0.7592
Dy 0.1967 0.7408 0.9559
Dy 0.2826 0.0326 0.7500
Dy 0.9991 0.7591 0.2592
Dy 0.7849 0.7408 0.5441